# 1
First-principles (PBE) data for a geometry-optimized Pa8Si2Os structure, as listed in Alexandria via LeMat-Bulk.

a b c (Å): 4.3317 7.0370 8.5848
angles (deg): 92.18 104.61 90.00
Fractional positions:
Pa 0.9918 0.7496 0.9837
Pa 0.4010 0.4651 0.8021
Pa 0.0082 0.2504 0.0163
Pa 0.6646 0.0363 0.3291
Pa 0.5990 0.5349 0.1979
Pa 0.2164 0.3456 0.4329
Pa 0.7836 0.6544 0.5671
Pa 0.3354 0.9637 0.6709
Os 0.5000 0.0000 0.0000
Si 0.1752 0.7591 0.3504
Si 0.8248 0.2409 0.6496

Properties
- Crystal system: monoclinic
- Symmetry: C2/m, No. 12
- Final energy: -0.335 hartree per atom
- V: 253.02 Å³/f.u.
- DOS at the Fermi energy: 1.8385 states/eV/atom
- E_form (uncorrected): -0.194 eV/atom

---

# 2
First-principles (PBE) data for a geometry-optimized Ca2ZnNi structure, as listed in Alexandria via LeMat-Bulk.

a b c (Å): 3.8984 3.8984 8.2609
angles (deg): 76.82 76.82 59.04
Fractional positions:
Ca 0.0128 0.0128 0.9606
Ca 0.4872 0.4872 0.5394
Ni 0.7500 0.7500 0.7500
Zn 0.2500 0.2500 0.2500

Properties
- Crystal system: monoclinic
- Symmetry: C2/m, No. 12
- Final energy: -0.099 hartree per atom
- V: 103.89 Å³/f.u.
- Formation energy: 0.07 eV/atom
- DOS at the Fermi energy: 0.7189 states/eV/atom

---

# 3
First-principles (PBE) data for a geometry-optimized PaMnCo4Si2 structure, as listed in Alexandria via LeMat-Bulk.

a b c (Å): 3.8990 3.8990 8.2573
angles (deg): 76.34 76.34 60.00
Fractional positions:
Si 0.2352 0.2352 0.2945
Si 0.7648 0.7648 0.7055
Co 0.5990 0.5990 0.2029
Co 0.8688 0.8688 0.3937
Co 0.4010 0.4010 0.7971
Co 0.1312 0.1312 0.6063
Mn 0.5000 0.5000 0.5000
Pa 0.0000 0.0000 0.0000

Properties
- Crystal system: trigonal
- Symmetry: R-3m, No. 166
- Final energy: -0.285 hartree per atom
- V: 104.59 Å³/f.u.
- DOS at the Fermi energy: 0.6581 states/eV/atom
- E_form (uncorrected): -0.510 eV/atom

---

# 4
First-principles (PBE) data for a geometry-optimized LiRuCl2 structure, as listed in Alexandria via LeMat-Bulk.

a b c (Å): 4.7551 4.7551 4.7551
angles (deg): 60.00 60.00 60.00
Fractional positions:
Ru 0.7500 0.7500 0.7500
Cl 0.2500 0.2500 0.2500
Cl 0.0000 0.0000 0.0000
Li 0.5000 0.5000 0.5000

Properties
- Crystal system: cubic
- Symmetry: F-43m, No. 216
- Final energy: -0.121 hartree per atom
- V: 76.03 Å³/f.u.
- DOS at the Fermi energy: 1.3200 states/eV/atom
- E_form (uncorrected): 0.432 eV/atom

---

# 5
First-principles (PBE) data for a geometry-optimized HfPbO2 structure, as listed in Alexandria via LeMat-Bulk.

a b c (Å): 8.5879 8.5879 8.5879
angles (deg): 21.80 21.80 21.80
Fractional positions:
Pb 0.0000 0.0000 0.0000
O 0.1287 0.1287 0.1287
O 0.8713 0.8713 0.8713
Hf 0.5000 0.5000 0.5000

Properties
- Crystal system: trigonal
- Symmetry: R-3m, No. 166
- Final energy: -0.303 hartree per atom
- V: 76.59 Å³/f.u.
- DOS at the Fermi energy: 0.1719 states/eV/atom
- E_form (uncorrected): -2.348 eV/atom

---

# 6
First-principles (PBE) data for a geometry-optimized Pm2PrSm3Se6 structure, as listed in Alexandria via LeMat-Bulk.

a b c (Å): 7.2712 7.2712 7.2794
angles (deg): 99.55 99.55 120.27
Fractional positions:
Pr 0.0000 0.0000 0.0000
Se 0.7474 0.7474 0.2529
Se 0.0849 0.4219 0.2547
Se 0.5781 0.9151 0.7453
Se 0.9151 0.5781 0.7453
Se 0.2526 0.2526 0.7471
Se 0.4219 0.0849 0.2547
Pm 0.3336 0.6664 0.0000
Pm 0.6664 0.3336 0.0000
Sm 0.1645 0.8355 0.5000
Sm 0.8355 0.1645 0.5000
Sm 0.5000 0.5000 0.5000

Properties
- Crystal system: monoclinic
- Symmetry: C2/m, No. 12
- Final energy: -0.218 hartree per atom
- V: 313.40 Å³/f.u.
- DOS at the Fermi energy: 0.4697 states/eV/atom
- E_form (uncorrected): -1.830 eV/atom

---

# 7
First-principles (PBE) data for a geometry-optimized NiTeOs2 structure, as listed in Alexandria via LeMat-Bulk.

a b c (Å): 2.9244 3.7023 5.8428
angles (deg): 90.00 90.00 90.00
Fractional positions:
Os 0.0000 0.0000 0.9989
Os 0.5000 0.5000 0.2040
Ni 0.5000 0.5000 0.7675
Te 0.0000 0.0000 0.5296

Properties
- Crystal system: orthorhombic
- Symmetry: Pmm2, No. 25
- Final energy: -0.269 hartree per atom
- V: 63.26 Å³/f.u.
- DOS at the Fermi energy: 0.6498 states/eV/atom
- E_form (uncorrected): 0.539 eV/atom

---

# 8
First-principles (PBE) data for a geometry-optimized TaFeCo2 structure, as listed in Alexandria via LeMat-Bulk.

a b c (Å): 3.5538 3.5538 8.9055
angles (deg): 78.49 78.49 90.00
Fractional positions:
Fe 0.5000 0.5000 0.0000
Fe 0.2500 0.7500 0.5000
Co 0.3750 0.4112 0.7500
Co 0.1612 0.6250 0.2500
Co 0.5888 0.1250 0.2500
Co 0.8750 0.8388 0.7500
Ta 0.0000 0.0000 0.0000
Ta 0.7500 0.2500 0.5000

Properties
- Crystal system: tetragonal
- Symmetry: I-42d, No. 122
- Final energy: -0.302 hartree per atom
- V: 53.95 Å³/f.u.
- Formation energy: 0.42 eV/atom
- DOS at the Fermi energy: 1.2120 states/eV/atom

---

# 9
First-principles (PBE) data for a geometry-optimized Rb2YCCl6 structure, as listed in Alexandria via LeMat-Bulk.

a b c (Å): 8.0120 8.0120 7.2644
angles (deg): 56.53 56.53 90.00
Fractional positions:
Cl 0.7244 0.7244 0.5512
Cl 0.2756 0.2756 0.4488
Cl 0.2335 0.7665 0.0000
Cl 0.7665 0.7665 0.0000
Cl 0.2335 0.2335 0.0000
Cl 0.7665 0.2335 0.0000
C 0.5000 0.5000 0.0000
Rb 0.7500 0.2500 0.5000
Rb 0.2500 0.7500 0.5000
Y 0.0000 0.0000 0.0000

Properties
- Crystal system: tetragonal
- Symmetry: I4/mmm, No. 139
- Final energy: -0.144 hartree per atom
- V: 291.88 Å³/f.u.
- DOS at the Fermi energy: 0.6275 states/eV/atom
- E_form (uncorrected): -1.059 eV/atom

---

# 10
First-principles (PBE) data for a geometry-optimized Y2CuGe4Rh3 structure, as listed in Alexandria via LeMat-Bulk.

a b c (Å): 4.2121 4.2121 10.1178
angles (deg): 90.00 90.00 90.00
Fractional positions:
Rh 0.0000 0.5000 0.1287
Rh 0.0000 0.0000 0.5000
Rh 0.5000 0.0000 0.8713
Cu 0.5000 0.5000 0.5000
Ge 0.0000 0.0000 0.0000
Ge 0.0000 0.5000 0.3683
Ge 0.5000 0.0000 0.6317
Ge 0.5000 0.5000 0.0000
Y 0.0000 0.5000 0.7540
Y 0.5000 0.0000 0.2460

Properties
- Crystal system: tetragonal
- Symmetry: P-4m2, No. 115
- Final energy: -0.238 hartree per atom
- V: 179.51 Å³/f.u.
- Formation energy: -0.73 eV/atom
- DOS at the Fermi energy: 0.5872 states/eV/atom

---

# 11
First-principles (PBE) data for a geometry-optimized PrTcAs2 structure, as listed in Alexandria via LeMat-Bulk.

a b c (Å): 3.1462 3.1462 10.1399
angles (deg): 81.08 81.08 60.00
Fractional positions:
Tc 0.0000 0.0000 0.0000
Pr 0.5000 0.5000 0.5000
As 0.9195 0.9195 0.2415
As 0.0805 0.0805 0.7585

Properties
- Crystal system: trigonal
- Symmetry: R-3m, No. 166
- Final energy: -0.212 hartree per atom
- V: 85.52 Å³/f.u.
- Formation energy: 0.34 eV/atom
- DOS at the Fermi energy: 1.0840 states/eV/atom

---

# 12
First-principles (PBE) data for a geometry-optimized K3I2Br8 structure, as listed in Alexandria via LeMat-Bulk.

a b c (Å): 8.0786 8.0786 11.0837
angles (deg): 68.63 68.63 60.00
Fractional positions:
I 0.5677 0.5677 0.2969
I 0.4323 0.4323 0.7031
Br 0.2383 0.2383 0.6879
Br 0.8355 0.2383 0.6879
Br 0.7617 0.7617 0.3121
Br 0.7617 0.1645 0.3121
Br 0.1645 0.7617 0.3121
Br 0.6947 0.6947 0.9159
Br 0.2383 0.8355 0.6879
Br 0.3053 0.3053 0.0841
K 0.7954 0.7954 0.6139
K 0.0000 0.0000 0.0000
K 0.2046 0.2046 0.3861

Properties
- Crystal system: trigonal
- Symmetry: R-3m, No. 166
- Final energy: -0.077 hartree per atom
- V: 568.29 Å³/f.u.
- DOS at the Fermi energy: 1.3518 states/eV/atom
- E_form (uncorrected): -0.584 eV/atom

---

# 13
First-principles (PBE) data for a geometry-optimized MgZrCr structure, as listed in Alexandria via LeMat-Bulk.

a b c (Å): 3.2008 4.2879 8.6327
angles (deg): 95.20 98.15 90.03
Fractional positions:
Cr 0.0244 0.1992 0.5698
Cr 0.9756 0.8008 0.4302
Mg 0.1916 0.2301 0.9051
Mg 0.8084 0.7699 0.0949
Zr 0.5711 0.6901 0.6828
Zr 0.4289 0.3099 0.3172

Properties
- Crystal system: triclinic
- Symmetry: P-1, No. 2
- Final energy: -0.237 hartree per atom
- V: 58.39 Å³/f.u.
- Formation energy: 0.15 eV/atom
- DOS at the Fermi energy: 0.7970 states/eV/atom